This record from the Alexandria database describes a relaxed structure of LaTa4Si. The functional is PBE.

Output
E_form (uncorrected) (eV per atom): 0.52

```
data_LaTa4Si
_chemical_formula_sum 'La4 Ta16 Si4'
_cell_length_a 7.975
_cell_length_b 7.975
_cell_length_c 7.975
_cell_angle_alpha 90.00
_cell_angle_beta 90.00
_cell_angle_gamma 90.00
_symmetry_space_group_name_H-M 'F -4 3 m'
_symmetry_Int_Tables_number 216
_symmetry_space_group_name_Hall 'F -4 2 3'
loop_
_atom_site_label
_atom_site_type_symbol
_atom_site_fract_x
_atom_site_fract_y
_atom_site_fract_z
La1 La 0.000 0.000 0.000
Ta1 Ta 0.126 0.126 0.374
Si1 Si 0.250 0.250 0.750
```

---

This record from the Alexandria database describes a relaxed structure of Si2BrCl. The functional is PBE.

Output
E_form (uncorrected) (eV per atom): 0.45
Energy above the most stable polymorph in this dataset (eV per formula unit): 3.26

```
data_Si2BrCl
_chemical_formula_sum 'Si6 Br3 Cl3'
_cell_length_a 3.3224
_cell_length_b 3.3224
_cell_length_c 26.3925
_cell_angle_alpha 90.00
_cell_angle_beta 90.00
_cell_angle_gamma 120.00
_symmetry_space_group_name_H-M 'R -3 m'
_symmetry_Int_Tables_number 166
_symmetry_space_group_name_Hall '-R 3 2"'
loop_
_atom_site_label
_atom_site_type_symbol
_atom_site_fract_x
_atom_site_fract_y
_atom_site_fract_z
Si1 Si 0.0000 0.0000 0.2483
Br1 Br 0.0000 0.0000 0.0000
Cl1 Cl 0.0000 0.0000 0.5000
```

---

This record from the Alexandria database describes a relaxed structure of Hf2SnH. The functional is PBE.

Output
Energy above the most stable polymorph in this dataset (eV per formula unit): 0.09

```
data_Hf2SnH
_chemical_formula_sum 'Hf4 Sn2 H2'
_cell_length_a 3.095
_cell_length_b 5.395
_cell_length_c 8.330
_cell_angle_alpha 90.00
_cell_angle_beta 90.00
_cell_angle_gamma 90.00
_symmetry_space_group_name_H-M 'I m m m'
_symmetry_Int_Tables_number 71
_symmetry_space_group_name_Hall '-I 2 2'
loop_
_atom_site_label
_atom_site_type_symbol
_atom_site_fract_x
_atom_site_fract_y
_atom_site_fract_z
Hf1 Hf 0.000 0.000 0.185
Sn1 Sn 0.000 0.500 0.000
H1 H 0.000 0.500 0.500
```

---

This record from the Alexandria database describes a relaxed structure of MnPb. The functional is PBE.

Output
DFT formation energy (meV per atom): 999

```
data_MnPb
_chemical_formula_sum 'Mn4 Pb4'
_cell_length_a 6.277
_cell_length_b 6.277
_cell_length_c 6.277
_cell_angle_alpha 90.00
_cell_angle_beta 90.00
_cell_angle_gamma 90.00
_symmetry_space_group_name_H-M 'F -4 3 m'
_symmetry_Int_Tables_number 216
_symmetry_space_group_name_Hall 'F -4 2 3'
loop_
_atom_site_label
_atom_site_type_symbol
_atom_site_fract_x
_atom_site_fract_y
_atom_site_fract_z
Mn1 Mn 0.000 0.000 0.000
Pb1 Pb 0.250 0.250 0.750
```

---

This record from the Alexandria database describes a relaxed structure of CsRb3In. The functional is PBE.

Output
DFT formation energy (meV per atom): -8
Energy above the most stable polymorph in this dataset (eV per formula unit): 0.00

```
data_CsRb3In
_chemical_formula_sum 'Cs4 Rb12 In4'
_cell_length_a 5.212
_cell_length_b 29.850
_cell_length_c 10.113
_cell_angle_alpha 90.00
_cell_angle_beta 90.00
_cell_angle_gamma 90.00
_symmetry_space_group_name_H-M 'A m a 2'
_symmetry_Int_Tables_number 40
_symmetry_space_group_name_Hall 'A 2 -2a'
loop_
_atom_site_label
_atom_site_type_symbol
_atom_site_fract_x
_atom_site_fract_y
_atom_site_fract_z
Cs1 Cs 0.250 0.072 0.000
Rb1 Rb 0.250 0.068 0.531
Rb2 Rb 0.250 0.298 0.262
Rb3 Rb 0.250 0.336 0.781
In1 In 0.250 0.475 0.771
```

---

This record from the Alexandria database describes a relaxed structure of Bi4Se3O4. The functional is PBE.

Output
E_form (uncorrected) (eV per atom): -0.53

```
data_Bi4Se3O4
_chemical_formula_sum 'Bi8 Se6 O8'
_cell_length_a 3.500
_cell_length_b 9.753
_cell_length_c 14.629
_cell_angle_alpha 90.00
_cell_angle_beta 90.00
_cell_angle_gamma 90.00
_symmetry_space_group_name_H-M 'I m m m'
_symmetry_Int_Tables_number 71
_symmetry_space_group_name_Hall '-I 2 2'
loop_
_atom_site_label
_atom_site_type_symbol
_atom_site_fract_x
_atom_site_fract_y
_atom_site_fract_z
Bi1 Bi 0.000 0.000 0.192
Bi2 Bi 0.000 0.268 0.500
Se1 Se 0.000 0.000 0.000
Se2 Se 0.000 0.500 0.080
O1 O 0.000 0.352 0.350
```

---

This record from the Alexandria database describes a relaxed structure of Pa3Tl2IrO12. The functional is PBE.

Output
E_form (uncorrected) (eV per atom): -2.28

```
data_Pa3Tl2IrO12
_chemical_formula_sum 'Pa9 Tl6 Ir3 O36'
_cell_length_a 8.0078
_cell_length_b 8.0078
_cell_length_c 19.0384
_cell_angle_alpha 90.00
_cell_angle_beta 90.00
_cell_angle_gamma 120.00
_symmetry_space_group_name_H-M 'R -3 m'
_symmetry_Int_Tables_number 166
_symmetry_space_group_name_Hall '-R 3 2"'
loop_
_atom_site_label
_atom_site_type_symbol
_atom_site_fract_x
_atom_site_fract_y
_atom_site_fract_z
Pa1 Pa 0.0000 0.5000 0.0000
Tl1 Tl 0.0000 0.0000 0.0980
Ir1 Ir 0.0000 0.0000 0.5000
O1 O 0.0718 0.5359 0.3589
O2 O 0.1074 0.5537 0.1095
```

---

This record from the Alexandria database describes a relaxed structure of HgMoBr2. The functional is PBE.

Output
E_form (uncorrected) (eV per atom): -0.04
Energy above the most stable polymorph in this dataset (eV per formula unit): 0.00

```
data_HgMoBr2
_chemical_formula_sum 'Hg3 Mo3 Br6'
_cell_length_a 3.3795
_cell_length_b 3.3795
_cell_length_c 33.8373
_cell_angle_alpha 90.00
_cell_angle_beta 90.00
_cell_angle_gamma 120.00
_symmetry_space_group_name_H-M 'R -3 m'
_symmetry_Int_Tables_number 166
_symmetry_space_group_name_Hall '-R 3 2"'
loop_
_atom_site_label
_atom_site_type_symbol
_atom_site_fract_x
_atom_site_fract_y
_atom_site_fract_z
Hg1 Hg 0.0000 0.0000 0.0000
Mo1 Mo 0.0000 0.0000 0.5000
Br1 Br 0.0000 0.0000 0.1143
```

---

This record from the Alexandria database describes a relaxed structure of NpGa4. The functional is PBE.

Output
DFT formation energy (meV per atom): -159
Energy above the most stable polymorph in this dataset (eV per formula unit): 0.00

```
data_NpGa4
_chemical_formula_sum 'Np4 Ga16'
_cell_length_a 4.355
_cell_length_b 6.231
_cell_length_c 13.954
_cell_angle_alpha 90.00
_cell_angle_beta 90.00
_cell_angle_gamma 90.00
_symmetry_space_group_name_H-M 'I m m a'
_symmetry_Int_Tables_number 74
_symmetry_space_group_name_Hall '-I 2b 2'
loop_
_atom_site_label
_atom_site_type_symbol
_atom_site_fract_x
_atom_site_fract_y
_atom_site_fract_z
Np1 Np 0.000 0.250 0.110
Ga1 Ga 0.000 0.000 0.500
Ga2 Ga 0.000 0.025 0.698
Ga3 Ga 0.000 0.250 0.893
```

---

This record from the Alexandria database describes a relaxed structure of SrPmTh. The functional is PBE.

Output
DFT formation energy (meV per atom): 174
Energy above the most stable polymorph in this dataset (eV per formula unit): 0.00

```
data_SrPmTh
_chemical_formula_sum 'Sr2 Pm2 Th2'
_cell_length_a 3.660
_cell_length_b 3.660
_cell_length_c 17.261
_cell_angle_alpha 90.00
_cell_angle_beta 90.00
_cell_angle_gamma 90.00
_symmetry_space_group_name_H-M 'I 4 m m'
_symmetry_Int_Tables_number 107
_symmetry_space_group_name_Hall 'I 4 -2'
loop_
_atom_site_label
_atom_site_type_symbol
_atom_site_fract_x
_atom_site_fract_y
_atom_site_fract_z
Sr1 Sr 0.000 0.000 0.000
Pm1 Pm 0.000 0.000 0.314
Th1 Th 0.000 0.000 0.677
```

---

This record from the Alexandria database describes a relaxed structure of Ca2MnOs. The functional is PBE.

Output
DFT formation energy (meV per atom): 659
Energy above the most stable polymorph in this dataset (eV per formula unit): 1.28

```
data_Ca2MnOs
_chemical_formula_sum 'Ca2 Mn1 Os1'
_cell_length_a 3.709
_cell_length_b 3.709
_cell_length_c 6.335
_cell_angle_alpha 90.00
_cell_angle_beta 90.00
_cell_angle_gamma 90.00
_symmetry_space_group_name_H-M 'P 4/m m m'
_symmetry_Int_Tables_number 123
_symmetry_space_group_name_Hall '-P 4 2'
loop_
_atom_site_label
_atom_site_type_symbol
_atom_site_fract_x
_atom_site_fract_y
_atom_site_fract_z
Ca1 Ca 0.000 0.000 0.231
Mn1 Mn 0.500 0.500 0.500
Os1 Os 0.500 0.500 0.000
```

---

This record from the Alexandria database describes a relaxed structure of Ti3CrCo. The functional is PBE.

Output
DFT formation energy (meV per atom): 667
Energy above the most stable polymorph in this dataset (eV per formula unit): 0.00

```
data_Ti3CrCo
_chemical_formula_sum 'Ti3 Cr1 Co1'
_cell_length_a 4.414
_cell_length_b 4.414
_cell_length_c 4.414
_cell_angle_alpha 90.00
_cell_angle_beta 90.00
_cell_angle_gamma 90.00
_symmetry_space_group_name_H-M 'P m -3 m'
_symmetry_Int_Tables_number 221
_symmetry_space_group_name_Hall '-P 4 2 3'
loop_
_atom_site_label
_atom_site_type_symbol
_atom_site_fract_x
_atom_site_fract_y
_atom_site_fract_z
Ti1 Ti 0.000 0.000 0.500
Cr1 Cr 0.500 0.500 0.500
Co1 Co 0.000 0.000 0.000
```

---

Going through the records in order, we get total DFT energy (no corrections) values of -9.1112, -3.1365, -6.9895, -5.4398, -1.3070, -4.6974, -7.9219, -3.6548, -5.1688, -4.4439, -5.4416, -7.4158 eV/atom.